Compound: ZrTl2W3O12
Source: Alexandria
Functional: PBE with a Hubbard U
Structure: relaxed

Unit cell a=7.549 b=7.549 c=7.549 alpha=59.03 beta=59.03 gamma=59.03
Fractional coordinates of all 18 atoms:
1 Zr 0.000 0.000 0.000
2 Tl 0.341 0.341 0.341
3 Tl 0.659 0.659 0.659
4 W 0.000 0.000 0.500
5 W 0.000 0.500 0.000
6 W 0.500 0.000 0.000
7 O 0.060 0.694 0.694
8 O 0.067 0.067 0.667
9 O 0.067 0.667 0.067
10 O 0.306 0.306 0.940
11 O 0.306 0.940 0.306
12 O 0.333 0.933 0.933
13 O 0.667 0.067 0.067
14 O 0.694 0.060 0.694
15 O 0.694 0.694 0.060
16 O 0.933 0.333 0.933
17 O 0.933 0.933 0.333
18 O 0.940 0.306 0.306

Calculated values
**Crystal system**: trigonal
**Volume**: 297.5 Å³ per cell
**Calculated total energy**: -131.6 eV per cell
**Space group**: R-3m, No. 166